Material: NiMoP2
Method: DFT, PBE
State: relaxed

abc: 7.3029 7.3029 7.3029
angles: 23.39 23.39 23.39
Last column: nearest neighbours and their distance in Å.
Sites, in units of the cell vectors:
Mo  0.2500  0.2500  0.2500  6 P 2.51
Ni  0.7500  0.7500  0.7500  6 P 2.42
P  0.0031  0.0031  0.0031  3 Ni 2.42, 3 Mo 2.51
P  0.4969  0.4969  0.4969  3 Ni 2.42, 3 Mo 2.51

Summary:
DFT formation energy   -0.6 eV/f.u.



Material: Rb2InNiBr
Method: DFT, PBE
State: relaxed

abc: 6.8111 4.4158 6.8111
angles: 90.00 90.00 90.00
Last column: nearest neighbours and their distance in Å.
Sites, in units of the cell vectors:
Ni  0.0000  0.0000  0.0000  2 Br 2.21
Br  0.0000  0.5000  0.0000  2 Ni 2.21
Rb  0.0000  0.0000  0.5000  2 Ni 3.41
Rb  0.5000  0.0000  0.0000  2 Ni 3.41
In  0.5000  0.5000  0.5000  8 Rb 4.06, 2 In 4.42

Summary:
ΔE_f (raw)   0.029 eV/atom



Material: Li2Th3Tl4
Method: DFT, PBE
State: relaxed

abc: 5.0492 6.1988 9.4467
angles: 116.68 90.00 114.03
Last column: nearest neighbours and their distance in Å.
Sites, in units of the cell vectors:
Li  0.6220  0.2439  0.2905  3 Tl 2.79-2.84
Li  0.3780  0.7561  0.7095  3 Tl 2.79-2.84
Th  0.6556  0.3111  0.6667  4 Li 3.36-3.45, 8 Tl 3.38-3.46, 2 Th 3.38-3.61
Th  0.0000  0.0000  0.0000  8 Tl 3.30-3.63, 4 Li 3.48, 2 Th 3.61
Th  0.3444  0.6889  0.3333  4 Li 3.36-3.45, 8 Tl 3.38-3.46, 2 Th 3.38-3.61
Tl  0.7068  0.4136  0.0589  1 Li 2.79, 2 Tl 3.11
Tl  0.2932  0.5864  0.9411  1 Li 2.79, 2 Tl 3.11
Tl  0.9284  0.8567  0.6114  2 Li 2.84
Tl  0.0716  0.1433  0.3886  2 Li 2.84

Summary:
DFT formation energy   -1.2 eV/f.u.